# Tl2BiSb2O6, relaxed, DFT GGA-PBE
data_Tl2BiSb2O6
_chemical_formula_sum 'Tl2 Bi1 Sb2 O6'
_cell_length_a 6.3363
_cell_length_b 6.0095
_cell_length_c 8.1381
_cell_angle_alpha 114.47
_cell_angle_beta 90.00
_cell_angle_gamma 121.82
_symmetry_space_group_name_H-M 'P 1'
_symmetry_Int_Tables_number 1
loop_
_symmetry_equiv_pos_as_xyz
'x,y,z'
loop_
_atom_site_label
_atom_site_fract_x
_atom_site_fract_y
_atom_site_fract_z
O1 0.2915 0.1207 0.7283
O2 0.8293 0.1207 0.7283
O3 0.7484 0.4967 0.5398
O4 0.7085 0.8793 0.2717
O5 0.1707 0.8793 0.2717
O6 0.2516 0.5033 0.4602
Tl1 0.2947 0.5894 0.7987
Tl2 0.7053 0.4106 0.2013
Sb1 0.9474 0.8948 0.7610
Sb2 0.0526 0.1052 0.2390
Bi1 0.5000 0.0000 0.5000
# * magnetic moment: 0.000 μB per cell
# * space group: C2/m, No. 12
# * final energy: -57.75 eV per formula unit
# * DOS at the Fermi energy: 0.4196 states/eV/atom
# * raw formation energy: -1.01 eV/atom

=====

# TaMn2Nb, relaxed, DFT GGA-PBE
data_TaMn2Nb
_chemical_formula_sum 'Ta2 Mn4 Nb2'
_cell_length_a 6.8441
_cell_length_b 6.8441
_cell_length_c 5.5519
_cell_angle_alpha 51.95
_cell_angle_beta 51.95
_cell_angle_gamma 90.00
_symmetry_space_group_name_H-M 'P 1'
_symmetry_Int_Tables_number 1
loop_
_symmetry_equiv_pos_as_xyz
'x,y,z'
loop_
_atom_site_label
_atom_site_fract_x
_atom_site_fract_y
_atom_site_fract_z
Mn1 0.6238 0.1250 0.2500
Mn2 0.3750 0.3762 0.7500
Mn3 0.8750 0.8738 0.7500
Mn4 0.1262 0.6250 0.2500
Ta1 0.7500 0.2500 0.5000
Ta2 0.0000 0.0000 0.0000
Nb1 0.5000 0.5000 0.0000
Nb2 0.2500 0.7500 0.5000
# * magnetic moment: 5.733 μB per cell
# * space group: I-42d, No. 122
# * final energy: -38.06 eV per formula unit
# * DOS at the Fermi energy: 1.1652 states/eV/atom
# * calculated formation energy: 213 kJ/mol of formula units
# * energy relative to the lowest polymorph listed for this composition: 734 meV/atom

=====

Question: Look up the DOS at the Fermi energy of the first one.
Answer: 0.4196 states/eV/atom

=====

Question: What is the final energy in the first record?
Answer: -57.75 eV per formula unit

=====

Question: Look up the DOS at the Fermi energy of the second one.
Answer: 1.1652 states/eV/atom